A plane-wave DFT calculation with GGA-PBE was carried out for an optimized crystal structure of Li12Cd2In.

Output
energy of formation = 33 kJ/mol of formula units

Structure (POSCAR):
```
Li12Cd2In
1.0
5.4780 0.0000 0.0000
0.0000 5.4780 0.0000
0.0000 0.0000 19.9199
Li Cd In
24 4 2
direct
0.0000 0.0000 0.6572
0.3223 0.1777 0.5618
0.1777 0.6777 0.5618
0.8223 0.6777 0.4382
0.2498 0.2502 0.1091
0.2498 0.7498 0.8909
0.0000 0.0000 0.2187
0.5000 0.5000 0.6572
0.7498 0.2498 0.1091
0.2502 0.7502 0.1091
0.3223 0.8223 0.4382
0.5000 0.5000 0.2187
0.7498 0.7502 0.8909
0.5000 0.5000 0.7813
0.5000 0.5000 0.3428
0.1777 0.3223 0.4382
0.6777 0.1777 0.4382
0.8223 0.3223 0.5618
0.2502 0.2498 0.8909
0.7502 0.7498 0.1091
0.7502 0.2502 0.8909
0.0000 0.0000 0.3428
0.0000 0.0000 0.7813
0.6777 0.8223 0.5618
0.0000 0.5000 0.7130
0.5000 0.0000 0.2870
0.5000 0.0000 0.7130
0.0000 0.5000 0.2870
0.5000 0.0000 0.0000
0.0000 0.5000 0.0000
```


A plane-wave DFT calculation with GGA-PBE was carried out for an optimized crystal structure of KSi2Cl8.

Output
energy relative to the elements, uncorrected = -1140 meV per atom

Structure (POSCAR):
```
KSi2Cl8
1.0
8.1073 0.8382 0.6360
1.3152 7.3236 0.9932
1.3152 2.9285 6.7856
Si Cl K
2 8 1
direct
0.6955 0.7960 0.7960
0.3045 0.2040 0.2040
0.7629 0.1013 0.6432
0.8447 0.6285 0.6285
0.2371 0.3568 0.8987
0.2371 0.8987 0.3568
0.7629 0.6432 0.1013
0.4236 0.8278 0.8278
0.5764 0.1722 0.1722
0.1553 0.3715 0.3715
0.0000 0.0000 0.0000
```


A plane-wave DFT calculation with GGA-PBE was carried out for an optimized crystal structure of Pm3EuNi.

Output
energy of formation = -9 kJ/mol of formula units

Structure (POSCAR):
```
Pm3EuNi
1.0
5.5207 0.0000 0.0000
0.0000 5.5207 0.0000
0.0000 0.0000 5.5207
Pm Ni Eu
3 1 1
direct
0.0000 0.5000 0.0000
0.0000 0.0000 0.5000
0.5000 0.0000 0.0000
0.0000 0.0000 0.0000
0.5000 0.5000 0.5000
```


A plane-wave DFT calculation with GGA-PBE was carried out for an optimized crystal structure of MgAs2P2.

Output
excess energy over the best structure of this formula in the dataset = 0.0708 eV per atom
energy of formation = 80 kJ/mol of formula units

Structure (POSCAR):
```
MgAs2P2
1.0
-0.8826 3.7820 3.2039
-1.9241 -3.2605 3.3188
2.1417 -0.2379 4.8266
P Mg As
2 1 2
direct
0.3324 0.3324 0.3353
0.6676 0.6676 0.6647
0.0000 0.0000 0.0000
0.2500 0.7500 0.5000
0.7500 0.2500 0.5000
```


A plane-wave DFT calculation with GGA-PBE was carried out for an optimized crystal structure of AcAgSn2Pd5.

Output
energy of formation = -344 kJ/mol of formula units

Structure (POSCAR):
```
AcAgSn2Pd5
1.0
-1.0976 -1.1567 3.9364
-1.6569 -3.6028 -1.5207
9.2066 -4.7309 1.1770
Sn Pd Ag Ac
2 5 1 1
direct
0.5000 0.5000 0.1339
0.5000 0.5000 0.8661
0.5000 0.0000 0.2875
0.5000 0.5000 0.5000
0.0000 0.5000 0.2875
0.5000 0.0000 0.7125
0.0000 0.5000 0.7125
0.0000 0.0000 0.0000
0.0000 0.0000 0.5000
```


A plane-wave DFT calculation with GGA-PBE was carried out for an optimized crystal structure of Ce2Sm3Sn4.

Output
energy of formation = -602 kJ/mol of formula units

Structure (POSCAR):
```
Ce2Sm3Sn4
1.0
-5.1660 -4.3706 4.5503
7.5107 0.7755 3.8792
-2.6775 7.0869 3.7673
Sn Sm Ce
8 6 4
direct
0.6333 0.5140 0.6335
0.8336 0.0826 0.5348
0.3336 0.0826 0.9652
0.6664 0.9174 0.0348
0.1664 0.9174 0.4652
0.1333 0.5140 0.8665
0.3667 0.4860 0.3665
0.8667 0.4860 0.1335
0.0000 0.5000 0.5000
0.5000 0.5000 0.0000
0.7359 0.2442 0.8311
0.2359 0.2442 0.6689
0.2641 0.7558 0.1689
0.7641 0.7558 0.3311
0.5624 0.1926 0.3191
0.0624 0.1926 0.1809
0.4376 0.8074 0.6809
0.9376 0.8074 0.8191
```


A plane-wave DFT calculation with GGA-PBE was carried out for an optimized crystal structure of Pr2UPbO8.

Output
energy relative to the elements, uncorrected = -2660 meV per atom

Structure (POSCAR):
```
Pr2UPbO8
1.0
3.8654 -0.1701 0.0166
-0.0637 5.5354 -0.2879
0.0213 -0.3791 8.0780
O Pr U Pb
8 2 1 1
direct
0.4658 0.2436 0.4741
0.5342 0.7564 0.5259
0.4663 0.2214 0.9806
0.5337 0.7786 0.0194
0.9796 0.2107 0.7444
0.9728 0.2524 0.1953
0.0204 0.7893 0.2556
0.0272 0.7476 0.8047
0.4946 0.5159 0.2499
0.5054 0.4841 0.7501
0.0000 0.0000 0.0000
0.0000 0.0000 0.5000
```


A plane-wave DFT calculation with GGA-PBE was carried out for an optimized crystal structure of DyRe2Si4.

Output
energy relative to the elements, uncorrected = -495 meV per atom

Structure (POSCAR):
```
DyRe2Si4
1.0
-2.8556 2.2692 1.8421
-2.8765 -5.5128 2.3318
9.2839 0.8174 13.3849
Re Si Dy
8 16 4
direct
0.2500 0.4059 0.3084
0.7500 0.9059 0.1916
0.2500 0.7449 0.0561
0.7500 0.5941 0.6916
0.7500 0.2449 0.4439
0.7500 0.2551 0.9439
0.2500 0.0941 0.8084
0.2500 0.7551 0.5561
0.7500 0.9852 0.0474
0.2500 0.3810 0.0171
0.7500 0.3144 0.7935
0.7500 0.1856 0.2935
0.2500 0.0148 0.9526
0.7500 0.8759 0.8074
0.2500 0.1241 0.1926
0.2500 0.4852 0.4526
0.2500 0.3759 0.6926
0.7500 0.8810 0.4829
0.2500 0.8144 0.7065
0.2500 0.1190 0.5171
0.7500 0.6241 0.3074
0.7500 0.5148 0.5474
0.2500 0.6856 0.2065
0.7500 0.6190 0.9829
0.7500 0.0906 0.6413
0.2500 0.5906 0.8587
0.7500 0.4094 0.1413
0.2500 0.9094 0.3587
```